A relaxed ScCrGe2O crystal, computed with PBE+U.

Crystal system: tetragonal
VASP energy, eV/atom: -6.15
Magnetization, μB per cell: 4.4

Lattice parameters (Å, degrees): 4.576 4.117 4.576 90.00 90.00 90.00
Site moments in Bohr magnetons follow the coordinates.
Fractional coordinates of all 5 atoms:
Cr  0.500  0.500  0.500  4.13
Sc  0.000  0.500  0.000  0.02
Ge  0.000  0.000  0.500  -0.07
Ge  0.500  0.000  0.000  -0.07
O  0.000  0.000  0.000  0.00